Below is an optimized crystal structure of PaWO5, with properties calculated at the PBE with a Hubbard U level.

```
PaWO5
1.0
4.468 -3.300 0.000
4.468 3.300 0.000
-3.246 0.000 6.908
Pa W O
2 2 10
direct
0.037 0.963 0.750 Pa
0.963 0.037 0.250 Pa
0.500 0.500 0.000 W
0.500 0.500 0.500 W
0.184 0.797 0.035 O
0.203 0.816 0.465 O
0.242 0.280 0.377 O
0.280 0.242 0.877 O
0.397 0.603 0.750 O
0.603 0.397 0.250 O
0.720 0.758 0.123 O
0.758 0.720 0.623 O
0.797 0.184 0.535 O
0.816 0.203 0.965 O
```

Properties
The calculated volume comes out at 203.7 Å³ per cell. As for the raw total energy: -122.58 eV per cell. The symmetry is C2/c.